[1]
Compound: Sc2TcAuC
Source: OQMD
Functional: PBE
Structure: optimized geometry

Values from the calculation:
electronic total energy: -38.13 eV per formula unit
magnetization: 0.00 Bohr magnetons per cell

Lattice parameters (Å, degrees): 4.531 4.531 3.959 90.00 90.00 90.00
Fractional positions:
Sc: 0.000 0.500 0.000
Sc: 0.500 0.000 0.000
Tc: 0.000 0.000 0.500
Au: 0.500 0.500 0.500
C: 0.000 0.000 0.000


[2]
Compound: Sc2W4Au3C3
Source: OQMD
Functional: PBE
Structure: optimized geometry

Values from the calculation:
electronic total energy: -105.16 eV per formula unit
magnetization: 0.00 Bohr magnetons per cell

Lattice parameters (Å, degrees): 5.504 5.504 13.910 101.33 101.33 60.20
Fractional positions:
Sc: 0.036 0.879 0.610
Sc: 0.121 0.964 0.890
Sc: 0.879 0.036 0.110
Sc: 0.964 0.121 0.390
W: 0.192 0.346 0.076
W: 0.296 0.488 0.424
W: 0.346 0.192 0.576
W: 0.488 0.296 0.924
W: 0.512 0.704 0.076
W: 0.654 0.808 0.424
W: 0.704 0.512 0.576
W: 0.808 0.654 0.924
Au: 0.084 0.335 0.752
Au: 0.335 0.084 0.252
Au: 0.497 0.503 0.250
Au: 0.503 0.497 0.750
Au: 0.665 0.916 0.748
Au: 0.916 0.665 0.248
C: 0.000 0.500 0.500
C: 0.165 0.668 0.000
C: 0.332 0.835 0.500
C: 0.500 0.000 0.000
C: 0.668 0.165 0.500
C: 0.835 0.332 0.000


[3]
Compound: Sc4W2Au3C3
Source: OQMD
Functional: PBE
Structure: optimized geometry

Values from the calculation:
electronic total energy: -94.34 eV per formula unit
magnetization: 0.01 Bohr magnetons per cell

Lattice parameters (Å, degrees): 5.626 5.626 14.176 101.43 101.43 60.21
Fractional positions:
Sc: 0.045 0.185 0.097
Sc: 0.122 0.301 0.403
Sc: 0.185 0.045 0.597
Sc: 0.301 0.122 0.903
Sc: 0.699 0.878 0.097
Sc: 0.815 0.955 0.403
Sc: 0.878 0.699 0.597
Sc: 0.955 0.815 0.903
W: 0.341 0.526 0.070
W: 0.474 0.659 0.430
W: 0.526 0.341 0.570
W: 0.659 0.474 0.930
Au: 0.130 0.870 0.250
Au: 0.284 0.420 0.751
Au: 0.420 0.284 0.251
Au: 0.580 0.716 0.749
Au: 0.716 0.580 0.249
Au: 0.870 0.130 0.750
C: 0.000 0.500 0.000
C: 0.186 0.657 0.500
C: 0.343 0.814 0.000
C: 0.500 0.000 0.500
C: 0.657 0.186 0.000
C: 0.814 0.343 0.500


[4]
Compound: Y4Sc2Au3C3
Source: OQMD
Functional: PBE
Structure: optimized geometry

Values from the calculation:
electronic total energy: -82.72 eV per formula unit
magnetization: 0.06 Bohr magnetons per cell

Lattice parameters (Å, degrees): 6.238 6.238 14.302 102.60 102.60 60.02
Fractional positions:
Y: 0.037 0.197 0.100
Y: 0.130 0.300 0.399
Y: 0.197 0.037 0.600
Y: 0.300 0.130 0.899
Y: 0.700 0.870 0.101
Y: 0.803 0.963 0.400
Y: 0.870 0.700 0.601
Y: 0.963 0.803 0.900
Sc: 0.356 0.526 0.079
Sc: 0.474 0.644 0.421
Sc: 0.526 0.356 0.579
Sc: 0.644 0.474 0.921
Au: 0.137 0.863 0.250
Au: 0.302 0.416 0.751
Au: 0.416 0.302 0.251
Au: 0.584 0.698 0.749
Au: 0.698 0.584 0.249
Au: 0.863 0.137 0.750
C: 0.000 0.500 0.000
C: 0.179 0.660 0.500
C: 0.340 0.821 0.000
C: 0.500 0.000 0.500
C: 0.660 0.179 0.000
C: 0.821 0.340 0.500


[5]
Compound: Sc4ZnAuC2
Source: OQMD
Functional: PBE
Structure: optimized geometry

Values from the calculation:
electronic total energy: -52.20 eV per formula unit
magnetization: 0.17 Bohr magnetons per cell

Lattice parameters (Å, degrees): 3.354 3.354 14.040 90.00 90.00 120.00
Fractional positions:
Sc: 0.000 0.000 0.159
Sc: 0.000 0.000 0.841
Sc: 0.667 0.333 0.333
Sc: 0.667 0.333 0.667
Zn: 0.000 0.000 0.500
Au: 0.667 0.333 0.000
C: 0.333 0.667 0.243
C: 0.333 0.667 0.757


[6]
Compound: Zr4Sc2Au3C3
Source: OQMD
Functional: PBE
Structure: optimized geometry

Values from the calculation:
electronic total energy: -92.00 eV per formula unit
magnetization: 0.04 Bohr magnetons per cell

Lattice parameters (Å, degrees): 5.794 5.794 14.489 101.57 101.57 60.04
Fractional positions:
Zr: 0.029 0.199 0.091
Zr: 0.139 0.302 0.409
Zr: 0.199 0.029 0.591
Zr: 0.302 0.139 0.909
Zr: 0.698 0.861 0.091
Zr: 0.801 0.971 0.409
Zr: 0.861 0.698 0.591
Zr: 0.971 0.801 0.909
Sc: 0.365 0.530 0.088
Sc: 0.470 0.635 0.412
Sc: 0.530 0.365 0.588
Sc: 0.635 0.470 0.912
Au: 0.100 0.900 0.250
Au: 0.267 0.417 0.750
Au: 0.417 0.267 0.250
Au: 0.583 0.733 0.750
Au: 0.733 0.583 0.250
Au: 0.900 0.100 0.750
C: 0.000 0.500 0.000
C: 0.156 0.672 0.500
C: 0.328 0.844 0.000
C: 0.500 0.000 0.500
C: 0.672 0.156 0.000
C: 0.844 0.328 0.500